# 1
Material: LaZrW2
Method: DFT, SCAN
State: PBEsol geometry

Unit cell a=6.7554 b=6.7554 c=6.7554 alpha=90.00 beta=90.00 gamma=90.00
Closest atoms and distances in Å follow each position.
Space group F-43m (No. 216)
Inequivalent atoms, fractional coordinates:
La: 0.0000 0.0000 0.0000 (multiplicity 4)  4 Zr 2.93, 4 W 2.93
Zr: 0.2500 0.2500 0.7500 (multiplicity 4)  4 La 2.93, 4 W 2.93
W: 0.0000 0.0000 0.5000 (multiplicity 4)  4 W 2.93, 4 Zr 2.93
W: 0.2500 0.2500 0.2500 (multiplicity 4)  4 La 2.93, 4 W 2.93

## Properties
The calculation puts the distance to the lowest polymorph of the same formula at 0.0 meV/atom. For the magnetic moment, the calculation gives 0.00 μB per cell. The value obtained for the energy of formation is 0.621 eV per atom. The density of states at the Fermi level comes out at 12.2 states/eV per cell. The value obtained for the calculated volume is 19.268 Å³/atom. The value obtained for the total energy is -52.67 eV/atom.

# 2
Material: YHg2Cl
Method: DFT, SCAN
State: PBEsol geometry

Unit cell a=3.5998 b=5.3921 c=5.2865 alpha=90.00 beta=96.11 gamma=90.00
Closest atoms and distances in Å follow each position.
Space group P2/m (No. 10)
Inequivalent atoms, fractional coordinates:
Y: 0.0000 0.0000 0.0000 (multiplicity 1)  2 Cl 2.64
Hg: 0.3697 0.5000 0.2400 (multiplicity 2)  2 Hg 2.80-2.81
Cl: 0.0000 0.0000 0.5000 (multiplicity 1)  2 Y 2.64

## Properties
The calculation puts the distance to the lowest polymorph of the same formula at 0.0 meV/atom. For the magnetic moment, the calculation gives 0.03 μB per cell. The density of states at the Fermi level comes out at 1.8 states/eV per cell. The value obtained for the calculated volume is 25.508 Å³/atom. The value obtained for the total energy is -43.77 eV/atom.

# 3
Material: KCd4Br
Method: DFT, SCAN
State: PBEsol geometry

Unit cell a=8.7213 b=8.7213 c=8.7213 alpha=90.00 beta=90.00 gamma=90.00
Closest atoms and distances in Å follow each position.
Space group F-43m (No. 216)
Inequivalent atoms, fractional coordinates:
K: 0.0000 0.0000 0.0000 (multiplicity 4)  12 Cd 3.62, 4 Br 3.78
Cd: 0.1245 0.1245 0.3755 (multiplicity 16)  6 Cd 3.07-3.10
Br: 0.2500 0.2500 0.7500 (multiplicity 4)  12 Cd 3.61, 4 K 3.78

## Properties
For the magnetic moment, the calculation gives 0.00 μB per cell. The density of states at the Fermi level comes out at 1.2 states/eV per cell. The value obtained for the calculated volume is 27.639 Å³/atom. The value obtained for the total energy is -25.12 eV/atom.

# 4
Material: MgP2Ru
Method: DFT, SCAN
State: PBEsol geometry

Unit cell a=7.1123 b=3.0031 c=5.9152 alpha=90.00 beta=104.16 gamma=90.00
Closest atoms and distances in Å follow each position.
Space group C2/m (No. 12)
Inequivalent atoms, fractional coordinates:
Mg: 0.0000 0.0000 0.0000 (multiplicity 2)  6 P 2.65-2.76
P: 0.2456 0.0000 0.7042 (multiplicity 4)  3 Ru 2.39-2.41, 2 Mg 2.65
Ru: 0.0000 0.5000 0.5000 (multiplicity 2)  6 P 2.39-2.41

## Properties
For the magnetic moment, the calculation gives 0.00 μB per cell. The value obtained for the energy of formation is -0.317 eV per atom. The density of states at the Fermi level comes out at 3.2 states/eV per cell. The value obtained for the calculated volume is 15.313 Å³/atom. The value obtained for the total energy is -15.47 eV/atom.

# 5
Material: Ca2NiHg
Method: DFT, SCAN
State: PBEsol geometry

Unit cell a=3.5440 b=4.9152 c=10.5584 alpha=90.00 beta=90.00 gamma=90.00
Closest atoms and distances in Å follow each position.
Space group Imm2 (No. 44)
Inequivalent atoms, fractional coordinates:
Ca: 0.0000 0.0000 0.0000 (multiplicity 2)  2 Ni 3.04, 4 Hg 3.16, 2 Ca 3.25
Ca: 0.0000 0.5000 0.2021 (multiplicity 2)  4 Ni 3.05, 2 Ca 3.25, 2 Hg 3.34
Ni: 0.0000 0.5000 0.7345 (multiplicity 2)  2 Hg 2.61
Hg: 0.0000 0.0000 0.4157 (multiplicity 2)  2 Ni 2.61

## Properties
For the magnetic moment, the calculation gives 0.00 μB per cell. The value obtained for the energy of formation is -0.201 eV per atom. The density of states at the Fermi level comes out at 5.0 states/eV per cell. The value obtained for the calculated volume is 22.990 Å³/atom. The value obtained for the total energy is -26.12 eV/atom.

# 6
Material: NbBr3Cl
Method: DFT, SCAN
State: PBEsol geometry

Unit cell a=5.1710 b=5.1710 c=5.1710 alpha=90.00 beta=90.00 gamma=90.00
Closest atoms and distances in Å follow each position.
Space group Pm-3m (No. 221)
Inequivalent atoms, fractional coordinates:
Nb: 0.0000 0.0000 0.0000 (multiplicity 1)  12 Br 3.66
Br: 0.0000 0.5000 0.5000 (multiplicity 3)  2 Cl 2.59
Cl: 0.5000 0.5000 0.5000 (multiplicity 1)  6 Br 2.59

## Properties
For the magnetic moment, the calculation gives 3.50 μB per cell. The density of states at the Fermi level comes out at 5.6 states/eV per cell. The value obtained for the calculated volume is 27.654 Å³/atom. The value obtained for the total energy is -19.02 eV/atom.

# 7
Material: YZnCl2
Method: DFT, SCAN
State: PBEsol geometry

Unit cell a=3.9806 b=3.9806 c=10.0784 alpha=90.00 beta=90.00 gamma=90.00
Closest atoms and distances in Å follow each position.
Space group I-4m2 (No. 119)
Inequivalent atoms, fractional coordinates:
Y: 0.0000 0.0000 0.0000 (multiplicity 2)  4 Cl 2.81
Zn: 0.0000 0.5000 0.2500 (multiplicity 2)  4 Cl 2.81
Cl: 0.0000 0.0000 0.5000 (multiplicity 2)  4 Y 2.81
Cl: 0.0000 0.5000 0.7500 (multiplicity 2)  4 Zn 2.81

## Properties
The calculation puts the distance to the lowest polymorph of the same formula at 38.7 meV/atom. For the magnetic moment, the calculation gives 0.00 μB per cell. The density of states at the Fermi level comes out at 4.2 states/eV per cell. The value obtained for the calculated volume is 19.961 Å³/atom. The value obtained for the total energy is -15.36 eV/atom.

# 8
Material: Ca2MgCu9
Method: DFT, SCAN
State: PBEsol geometry

Unit cell a=4.9865 b=4.9865 c=24.5850 alpha=90.00 beta=90.00 gamma=120.00
Closest atoms and distances in Å follow each position.
Space group R-3m (No. 166, hexagonal axes)
Inequivalent atoms, fractional coordinates:
Ca: 0.0000 0.0000 0.1376 (multiplicity 6)  12 Cu 2.86-3.18
Mg: 0.0000 0.0000 0.0000 (multiplicity 3)  18 Cu 2.88-3.18
Cu: 0.0000 0.0000 0.3326 (multiplicity 6)  6 Cu 2.43-2.46
Cu: 0.0000 0.0000 0.5000 (multiplicity 3)  6 Cu 2.56
Cu: 0.0002 0.5001 0.0805 (multiplicity 18)  7 Cu 2.43-2.56

## Properties
For the magnetic moment, the calculation gives 0.00 μB per cell. The value obtained for the energy of formation is -0.076 eV per atom. The density of states at the Fermi level comes out at 10.9 states/eV per cell. The value obtained for the calculated volume is 14.706 Å³/atom. The value obtained for the total energy is -13.50 eV/atom.